Entry from OQMD via LeMat-Bulk: a relaxed Gd2Ni3Sn2Pt crystal (GGA-PBE).

Values from the calculation:
SG ... P3m1
Electronic total energy ... -45.21 eV per formula unit
M_tot ... 0.00 μB per cell

Cell lengths 4.438, 4.438, 8.820 Å; angles 90.00, 90.00, 120.00 degrees
Atoms (fractional coordinates):
Gd (0.000, 0.000, 0.254)
Gd (0.333, 0.667, 0.745)
Ni (0.333, 0.667, 0.087)
Ni (0.333, 0.667, 0.419)
Ni (0.000, 0.000, 0.576)
Pt (0.000, 0.000, 0.908)
Sn (0.667, 0.333, 0.015)
Sn (0.667, 0.333, 0.496)